This record from Alexandria via LeMat-Bulk describes Li4MnCo3O8 after structural relaxation. The functional is PBE with a Hubbard U.

The structure in POSCAR format:
```
Li4MnCo3O8
1.0
6.497 -1.446 0.000
6.497 1.446 0.000
-6.226 0.000 7.731
Li Mn Co O
4 1 3 8
Direct
0.123 0.123 0.372 Li
0.370 0.370 0.111 Li
0.630 0.630 0.889 Li
0.877 0.877 0.628 Li
0.500 0.500 0.500 Mn
0.000 0.000 0.000 Co
0.254 0.254 0.754 Co
0.746 0.746 0.246 Co
0.056 0.056 0.665 O
0.187 0.187 0.069 O
0.324 0.324 0.436 O
0.437 0.437 0.819 O
0.563 0.563 0.181 O
0.676 0.676 0.564 O
0.813 0.813 0.931 O
0.944 0.944 0.335 O
```

Properties
Electronic total energy, eV for the cell shown: -93.7
Energy above the lowest structure with this stoichiometry, meV per atom: 39
SG: C2/m, No. 12